LiSiAu2 | PBE | relaxed

Values from the calculation:
- Size of the total moment: 0.00 Bohr magnetons per cell
- ρ: 10.151 Mg/m³
- Energy relative to the elements, uncorrected: -0.3153 eV/atom

a b c (Å): 7.088 7.119 5.562
angles (deg): 90.00 90.00 90.00
Atoms (fractional coordinates):
1 Li 0.017 0.250 0.126
2 Li 0.483 0.750 0.626
3 Li 0.517 0.250 0.374
4 Li 0.983 0.750 0.874
5 Si 0.126 0.750 0.391
6 Si 0.374 0.250 0.891
7 Si 0.626 0.750 0.109
8 Si 0.874 0.250 0.609
9 Au 0.188 0.048 0.605
10 Au 0.188 0.452 0.605
11 Au 0.312 0.548 0.105
12 Au 0.312 0.952 0.105
13 Au 0.688 0.048 0.895
14 Au 0.688 0.452 0.895
15 Au 0.812 0.548 0.395
16 Au 0.812 0.952 0.395


LiSiAu4 | PBE | relaxed

Values from the calculation:
- Size of the total moment: 0.00 Bohr magnetons per cell
- ρ: 12.757 Mg/m³
- Energy relative to the elements, uncorrected: -0.1244 eV/atom

a b c (Å): 5.601 5.601 7.798
angles (deg): 104.81 104.81 105.16
Atoms (fractional coordinates):
1 Li 0.125 0.875 0.750
2 Li 0.875 0.125 0.250
3 Si 0.374 0.626 0.250
4 Si 0.626 0.374 0.750
5 Au 0.055 0.779 0.042
6 Au 0.221 0.945 0.458
7 Au 0.260 0.484 0.543
8 Au 0.484 0.260 0.043
9 Au 0.516 0.740 0.957
10 Au 0.740 0.516 0.457
11 Au 0.779 0.055 0.542
12 Au 0.945 0.221 0.958


Li2SiAu | PBE | relaxed

Values from the calculation:
- Size of the total moment: 0.00 Bohr magnetons per cell
- ρ: 5.884 Mg/m³
- Energy relative to the elements, uncorrected: -0.0586 eV/atom

a b c (Å): 9.263 9.263 9.263
angles (deg): 18.16 18.16 18.16
Atoms (fractional coordinates):
1 Li 0.000 0.000 0.000
2 Li 0.237 0.237 0.237
3 Si 0.492 0.492 0.492
4 Au 0.747 0.747 0.747